Record 1
{"formula": "Er7TlPb4", "functional": "GGA-PBE", "state": "relaxed", "magmom_total_mub_per_cell": 0.002, "final_energy_ry_per_atom": -0.31269, "sg": "C2/m (12)", "rho_g_cm3": 9.8, "dos_ef_per_ev_cell": 9.5, "cell": [[5.6602, 0.0000, 0.0000], [2.8301, 8.8478, 0.0859], [2.8301, 0.4666, 7.4738]], "species": ["Pb", "Er", "Pb", "Er", "Pb", "Er", "Er", "Pb", "Er", "Er", "Er", "Tl"], "fractional_positions": [[0.4212, 0.7799, 0.3777], [0.9213, 0.3199, 0.8374], [0.2794, 0.3377, 0.1035], [0.2058, 0.1321, 0.4562], [0.5788, 0.2201, 0.6223], [0.0787, 0.6801, 0.1626], [0.7942, 0.8679, 0.5438], [0.7206, 0.6623, 0.8965], [0.3487, 0.5731, 0.7295], [0.5000, 0.0000, 0.0000], [0.6513, 0.4269, 0.2705], [0.0000, 0.0000, 0.0000]]}

Record 2
{"formula": "Er8TlPb5", "functional": "GGA-PBE", "state": "relaxed", "magmom_total_mub_per_cell": 0.000, "final_energy_ry_per_atom": -0.33490, "sg": "I-4 (82)", "rho_g_cm3": 10.6, "dos_ef_per_ev_cell": 8.9, "cell": [[-0.2191, 8.0098, 0.9672], [0.4023, -1.7558, -7.8674], [-6.6752, -3.2622, 3.1528]], "species": ["Er", "Pb", "Pb", "Er", "Pb", "Er", "Er", "Tl", "Er", "Er", "Er", "Pb", "Er", "Pb"], "fractional_positions": [[0.2664, 0.2502, 0.3771], [0.5000, 0.0000, 0.5000], [0.7502, 0.6251, 0.6243], [0.4813, 0.6073, 0.2316], [0.3757, 0.1259, 0.0008], [0.1269, 0.7498, 0.0162], [0.7684, 0.2497, 0.3757], [0.2500, 0.5000, 0.7500], [0.6243, 0.3927, 0.8739], [0.1261, 0.7503, 0.5187], [0.9838, 0.1107, 0.7336], [0.9992, 0.3749, 0.1251], [0.6229, 0.8893, 0.8731], [0.8749, 0.8741, 0.2498]]}

Record 3
{"formula": "Er2Tl2Pb", "functional": "GGA-PBE", "state": "relaxed", "magmom_total_mub_per_cell": 0.000, "e_above_lowest_polymorph_ev_per_fu": 0.272, "final_energy_ry_per_atom": -0.27168, "sg": "P2_1/m (11)", "rho_g_cm3": 10.7, "dos_ef_per_ev_cell": 7.7, "cell": [[-2.5305, -2.5441, 3.2197], [1.3665, -5.3391, -3.1448], [7.2818, 1.5664, 6.9609]], "species": ["Tl", "Er", "Tl", "Er", "Tl", "Er", "Pb", "Er", "Pb", "Tl"], "fractional_positions": [[0.2500, 0.8849, 0.8213], [0.2500, 0.3109, 0.3801], [0.2500, 0.8318, 0.4493], [0.7500, 0.6891, 0.6199], [0.7500, 0.1682, 0.5507], [0.7500, 0.6669, 0.2458], [0.2500, 0.3509, 0.0657], [0.2500, 0.3331, 0.7542], [0.7500, 0.6491, 0.9343], [0.7500, 0.1151, 0.1787]]}

Record 4
{"formula": "Er5Tl2Pb2", "functional": "GGA-PBE", "state": "relaxed", "magmom_total_mub_per_cell": 0.000, "e_above_lowest_polymorph_ev_per_fu": 0.263, "final_energy_ry_per_atom": -0.31331, "sg": "Cmce (64)", "rho_g_cm3": 10.6, "dos_ef_per_ev_cell": 16.3, "cell": [[-2.3979, 2.6409, 7.3844], [-7.0965, 2.1635, -3.0781], [-4.0760, -5.8151, 5.3099]], "species": ["Pb", "Er", "Er", "Pb", "Er", "Tl", "Pb", "Tl", "Er", "Er", "Pb", "Er", "Tl", "Er", "Er", "Tl", "Er", "Er"], "fractional_positions": [[0.6372, 0.1393, 0.0000], [0.6891, 0.3336, 0.2766], [0.3109, 0.6664, 0.7234], [0.3628, 0.8607, 0.0000], [0.8109, 0.8336, 0.7234], [0.7086, 0.5000, 0.5828], [0.8628, 0.6393, 0.0000], [0.2086, 0.0000, 0.5828], [0.1891, 0.1664, 0.2766], [0.5344, 0.8336, 0.2766], [0.1372, 0.3607, 0.0000], [0.4656, 0.1664, 0.7234], [0.7914, 0.0000, 0.4172], [0.9656, 0.3336, 0.7234], [0.0000, 0.0000, 0.0000], [0.2914, 0.5000, 0.4172], [0.5000, 0.5000, 0.0000], [0.0344, 0.6664, 0.2766]]}

Record 5
{"formula": "Er7Tl2Pb2", "functional": "GGA-PBE", "state": "relaxed", "magmom_total_mub_per_cell": 0.000, "final_energy_ry_per_atom": -0.29570, "sg": "Cmmm (65)", "rho_g_cm3": 9.5, "dos_ef_per_ev_cell": 9.7, "cell": [[6.8690, -0.0036, -0.8450], [0.0033, 7.6020, 0.0034], [-1.2713, -0.0015, 6.8030]], "species": ["Pb", "Er", "Er", "Tl", "Tl", "Er", "Er", "Er", "Pb", "Er", "Er"], "fractional_positions": [[0.1861, 0.5000, 0.1861], [0.4999, 0.2859, 0.9999], [0.5000, 0.7463, 0.5000], [0.2875, 0.9999, 0.7125], [0.7125, 0.0001, 0.2875], [0.5001, 0.7141, 0.0001], [0.5000, 0.2537, 0.5000], [0.0000, 0.0000, 0.0000], [0.8139, 0.5000, 0.8139], [0.0001, 0.2859, 0.5001], [0.9999, 0.7141, 0.4999]]}

Record 6
{"formula": "Er8Tl2Pb", "functional": "GGA-PBE", "state": "relaxed", "magmom_total_mub_per_cell": 0.000, "final_energy_ry_per_atom": -0.31583, "sg": "C2/m (12)", "rho_g_cm3": 10.3, "dos_ef_per_ev_cell": 9.3, "cell": [[5.2765, 0.0000, 0.0000], [0.0000, 8.4902, -0.4258], [-2.6382, -3.7527, 7.2416]], "species": ["Er", "Tl", "Er", "Pb", "Er", "Er", "Er", "Er", "Er", "Tl", "Er"], "fractional_positions": [[0.1419, 0.1862, 0.2838], [0.7803, 0.3826, 0.5606], [0.3183, 0.0546, 0.6366], [0.5000, 0.0000, 0.0000], [0.9373, 0.2815, 0.8746], [0.4081, 0.5435, 0.8163], [0.8581, 0.8138, 0.7162], [0.5919, 0.4565, 0.1837], [0.6817, 0.9454, 0.3634], [0.2197, 0.6174, 0.4394], [0.0627, 0.7185, 0.1254]]}

Record 7
{"formula": "Er2Tl9Pb", "functional": "GGA-PBE", "state": "relaxed", "magmom_total_mub_per_cell": 0.000, "final_energy_ry_per_atom": -0.21552, "sg": "P4/mmm (123)", "rho_g_cm3": 11.7, "dos_ef_per_ev_cell": 5.6, "cell": [[-3.0151, 1.9830, -3.2285], [1.4426, -3.2144, -3.3216], [-10.4720, -9.0573, 4.2169]], "species": ["Er", "Tl", "Tl", "Tl", "Tl", "Tl", "Tl", "Tl", "Pb", "Tl", "Tl", "Er"], "fractional_positions": [[0.0000, 0.0000, 0.6547], [0.0000, 0.5000, 0.5000], [0.5000, 0.5000, 0.0000], [0.0000, 0.5000, 0.1739], [0.5000, 0.0000, 0.1739], [0.0000, 0.5000, 0.8261], [0.5000, 0.5000, 0.6638], [0.5000, 0.0000, 0.8261], [0.0000, 0.0000, 0.0000], [0.5000, 0.0000, 0.5000], [0.5000, 0.5000, 0.3362], [0.0000, 0.0000, 0.3453]]}

Record 8
{"formula": "Er3Tl3Pb", "functional": "GGA-PBE", "state": "relaxed", "magmom_total_mub_per_cell": 0.048, "final_energy_ry_per_atom": -0.27344, "sg": "P6_3/m (176)", "rho_g_cm3": 11.4, "dos_ef_per_ev_cell": 12.3, "cell": [[-4.0456, 1.6502, 3.1633], [-5.7886, -5.1954, -4.6930], [4.2895, -3.3903, 7.2547]], "species": ["Er", "Pb", "Er", "Er", "Er", "Pb", "Tl", "Tl", "Tl", "Tl", "Tl", "Er", "Tl", "Er"], "fractional_positions": [[0.7500, 0.6468, 0.5484], [0.2500, 0.6667, 0.3333], [0.2500, 0.0984, 0.6468], [0.2500, 0.3532, 0.4516], [0.7500, 0.9016, 0.3532], [0.7500, 0.3333, 0.6667], [0.7500, 0.7579, 0.9528], [0.2500, 0.8051, 0.7579], [0.7500, 0.1949, 0.2421], [0.2500, 0.2421, 0.0472], [0.7500, 0.0472, 0.8051], [0.7500, 0.4516, 0.0984], [0.2500, 0.9528, 0.1949], [0.2500, 0.5484, 0.9016]]}

Record 9
{"formula": "ErTlPb2", "functional": "GGA-PBE", "state": "relaxed", "magmom_total_mub_per_cell": 0.000, "final_energy_ry_per_atom": -0.28078, "sg": "P4/mmm (123)", "rho_g_cm3": 11.6, "dos_ef_per_ev_cell": 2.3, "cell": [[4.9124, 0.0000, 0.0000], [0.0000, 4.7959, 0.0000], [0.0000, 0.0000, 4.7959]], "species": ["Er", "Pb", "Pb", "Tl"], "fractional_positions": [[0.5000, 0.0000, 0.0000], [0.0000, 0.0000, 0.5000], [0.0000, 0.5000, 0.0000], [0.5000, 0.5000, 0.5000]]}

Record 10
{"formula": "Er3TlPb", "functional": "GGA-PBE", "state": "relaxed", "magmom_total_mub_per_cell": 0.000, "final_energy_ry_per_atom": -0.30809, "sg": "C2/c (15)", "rho_g_cm3": 10.7, "dos_ef_per_ev_cell": 18.9, "cell": [[8.4763, 1.2507, -1.3033], [5.2415, 6.7778, -1.3033], [2.6711, 1.5633, 10.5851]], "species": ["Er", "Er", "Tl", "Er", "Er", "Tl", "Pb", "Pb", "Er", "Tl", "Er", "Er", "Pb", "Pb", "Er", "Er", "Er", "Tl", "Er", "Er"], "fractional_positions": [[0.2937, 0.7952, 0.9858], [0.7063, 0.2048, 0.0142], [0.4270, 0.8838, 0.4647], [0.3903, 0.4047, 0.2809], [0.5953, 0.6097, 0.2191], [0.8838, 0.4270, 0.9647], [0.0124, 0.9876, 0.2500], [0.9876, 0.0124, 0.7500], [0.2168, 0.1720, 0.7351], [0.5730, 0.1162, 0.5353], [0.4047, 0.3903, 0.7809], [0.7832, 0.8280, 0.2649], [0.5000, 0.0000, 0.0000], [0.0000, 0.5000, 0.5000], [0.8280, 0.7832, 0.7649], [0.6097, 0.5953, 0.7191], [0.1720, 0.2168, 0.2351], [0.1162, 0.5730, 0.0353], [0.7952, 0.2937, 0.4858], [0.2048, 0.7063, 0.5142]]}